--- a ---
DFT (GGA-PBE) results for crystalline NbInSn3 at its relaxed geometry.

Values from the calculation:
**DOS at the Fermi energy**: 3.6 states/eV/f.u.
**Density**: 5.9 g/cm³

```
data_NbInSn3
_symmetry_space_group_name_H-M 'P m -3 m'
_symmetry_Int_Tables_number 221
_symmetry_space_group_name_Hall '-P 4 2 3'
_cell_length_a 5.415
_cell_length_b 5.415
_cell_length_c 5.415
_cell_angle_alpha 90.00
_cell_angle_beta 90.00
_cell_angle_gamma 90.00
loop_
_atom_site_label
_atom_site_fract_x
_atom_site_fract_y
_atom_site_fract_z
Nb1 0.000 0.000 0.000
In1 0.500 0.500 0.500
Sn1 0.000 0.000 0.500
```



--- b ---
DFT (GGA-PBE) results for crystalline NbInSn3 at its relaxed geometry.

Values from the calculation:
**DOS at the Fermi energy**: 9.0 states/eV/f.u.
**Density**: 5.8 g/cm³

```
data_NbInSn3
_symmetry_space_group_name_H-M 'P m -3 m'
_symmetry_Int_Tables_number 221
_symmetry_space_group_name_Hall '-P 4 2 3'
_cell_length_a 5.443
_cell_length_b 5.443
_cell_length_c 5.443
_cell_angle_alpha 90.00
_cell_angle_beta 90.00
_cell_angle_gamma 90.00
loop_
_atom_site_label
_atom_site_fract_x
_atom_site_fract_y
_atom_site_fract_z
Nb1 0.000 0.000 0.000
In1 0.500 0.500 0.500
Sn1 0.000 0.500 0.500
```



Of them, the most stable is a and the least stable is b.



--- a ---
DFT (GGA-PBE) results for crystalline Nb3InSn at its relaxed geometry.

Values from the calculation:
**DOS at the Fermi energy**: 2.3 states/eV/f.u.
**Density**: 8.7 g/cm³

```
data_Nb3InSn
_symmetry_space_group_name_H-M 'P 1 21/m 1'
_symmetry_Int_Tables_number 11
_symmetry_space_group_name_Hall '-P 2yb'
_cell_length_a 7.219
_cell_length_b 3.651
_cell_length_c 7.470
_cell_angle_alpha 90.00
_cell_angle_beta 94.09
_cell_angle_gamma 90.00
loop_
_atom_site_label
_atom_site_fract_x
_atom_site_fract_y
_atom_site_fract_z
Nb1 0.029 0.250 0.149
Nb2 0.254 0.250 0.754
Nb3 0.468 0.250 0.352
In1 0.157 0.750 0.449
Sn1 0.333 0.750 0.061
```



--- b ---
DFT (GGA-PBE) results for crystalline Nb3InSn at its relaxed geometry.

Values from the calculation:
**DOS at the Fermi energy**: 6.5 states/eV/f.u.
**Density**: 6.7 g/cm³

```
data_Nb3InSn
_symmetry_space_group_name_H-M 'P m -3 m'
_symmetry_Int_Tables_number 221
_symmetry_space_group_name_Hall '-P 4 2 3'
_cell_length_a 5.026
_cell_length_b 5.026
_cell_length_c 5.026
_cell_angle_alpha 90.00
_cell_angle_beta 90.00
_cell_angle_gamma 90.00
loop_
_atom_site_label
_atom_site_fract_x
_atom_site_fract_y
_atom_site_fract_z
Nb1 0.000 0.000 0.500
In1 0.000 0.000 0.000
Sn1 0.500 0.500 0.500
```



--- c ---
DFT (GGA-PBE) results for crystalline Nb3InSn at its relaxed geometry.

Values from the calculation:
**DOS at the Fermi energy**: 7.9 states/eV/f.u.
**Density**: 6.6 g/cm³

```
data_Nb3InSn
_symmetry_space_group_name_H-M 'P m -3 m'
_symmetry_Int_Tables_number 221
_symmetry_space_group_name_Hall '-P 4 2 3'
_cell_length_a 5.052
_cell_length_b 5.052
_cell_length_c 5.052
_cell_angle_alpha 90.00
_cell_angle_beta 90.00
_cell_angle_gamma 90.00
loop_
_atom_site_label
_atom_site_fract_x
_atom_site_fract_y
_atom_site_fract_z
Nb1 0.000 0.000 0.500
In1 0.500 0.500 0.500
Sn1 0.000 0.000 0.000
```



Of them, the most stable is a and the least stable is b.